1.
# PaCu4Pd, relaxed, DFT GGA-PBE
# Size of the total moment (μB/f.u.): 0.01
# E_form (eV/f.u.): -1.585
data_PaCu4Pd
_chemical_formula_sum 'Pa1 Cu4 Pd1'
_symmetry_space_group_name_H-M 'P 1'
_symmetry_Int_Tables_number 1
_symmetry_space_group_name_Hall 'P 1'
_cell_length_a 4.995
_cell_length_b 4.995
_cell_length_c 4.995
_cell_angle_alpha 60.00
_cell_angle_beta 60.00
_cell_angle_gamma 60.00
loop_
_atom_site_label
_atom_site_type_symbol
_atom_site_fract_x
_atom_site_fract_y
_atom_site_fract_z
_atom_site_occupancy
Pd1 Pd 0.000 0.000 0.000 1
Pa1 Pa 0.250 0.250 0.250 1
Cu1 Cu 0.626 0.626 0.626 1
Cu2 Cu 0.626 0.122 0.626 1
Cu3 Cu 0.626 0.626 0.122 1
Cu4 Cu 0.122 0.626 0.626 1

=====

2.
# La3Ho2ErTe2Pd, relaxed, DFT GGA-PBE
# Size of the total moment (μB/f.u.): 0.00
# Raw total energy (eV/atom): -5.32
data_La3Ho2ErTe2Pd
_chemical_formula_sum 'La3 Ho2 Er1 Te2 Pd1'
_symmetry_space_group_name_H-M 'P 1'
_symmetry_Int_Tables_number 1
_symmetry_space_group_name_Hall 'P 1'
_cell_length_a 4.143
_cell_length_b 8.552
_cell_length_c 8.552
_cell_angle_alpha 119.98
_cell_angle_beta 90.00
_cell_angle_gamma 90.00
loop_
_atom_site_label
_atom_site_type_symbol
_atom_site_fract_x
_atom_site_fract_y
_atom_site_fract_z
_atom_site_occupancy
Er1 Er 0.000 0.238 0.238 1
Pd1 Pd 0.500 0.001 0.001 1
Te1 Te 0.000 0.333 0.666 1
Te2 Te 0.000 0.666 0.333 1
La1 La 0.500 0.406 0.000 1
La2 La 0.500 0.594 0.594 1
La3 La 0.500 0.000 0.406 1
Ho1 Ho 0.000 0.000 0.761 1
Ho2 Ho 0.000 0.761 0.000 1

=====

3.
# SrCdSnAs2, relaxed, DFT GGA-PBE
# Raw total energy (eV/atom): -3.67
data_SrCdSnAs2
_chemical_formula_sum 'Sr2 Cd2 Sn2 As4'
_symmetry_space_group_name_H-M 'P 1'
_symmetry_Int_Tables_number 1
_symmetry_space_group_name_Hall 'P 1'
_cell_length_a 8.771
_cell_length_b 8.771
_cell_length_c 6.976
_cell_angle_alpha 90.00
_cell_angle_beta 90.00
_cell_angle_gamma 149.80
loop_
_atom_site_label
_atom_site_type_symbol
_atom_site_fract_x
_atom_site_fract_y
_atom_site_fract_z
_atom_site_occupancy
Cd1 Cd 0.899 0.101 0.931 1
Cd2 Cd 0.101 0.899 0.431 1
As1 As 0.060 0.940 0.035 1
As2 As 0.677 0.323 0.559 1
As3 As 0.940 0.060 0.535 1
As4 As 0.323 0.677 0.059 1
Sr1 Sr 0.307 0.693 0.581 1
Sr2 Sr 0.693 0.307 0.081 1
Sn1 Sn 0.469 0.531 0.261 1
Sn2 Sn 0.531 0.469 0.761 1

=====

4.
# ThAl, relaxed, DFT GGA-PBE
# Size of the total moment (μB/f.u.): 0.00
# Raw total energy (eV/atom): -5.45
data_ThAl
_chemical_formula_sum 'Th1 Al1'
_symmetry_space_group_name_H-M 'P 1'
_symmetry_Int_Tables_number 1
_symmetry_space_group_name_Hall 'P 1'
_cell_length_a 4.373
_cell_length_b 4.373
_cell_length_c 4.373
_cell_angle_alpha 60.00
_cell_angle_beta 60.00
_cell_angle_gamma 60.00
loop_
_atom_site_label
_atom_site_type_symbol
_atom_site_fract_x
_atom_site_fract_y
_atom_site_fract_z
_atom_site_occupancy
Th1 Th 0.500 0.500 0.500 1
Al1 Al 0.000 0.000 0.000 1